Entry 1:
Computed, not measured: a geometry-optimized PmPr4Ho2Th structure at the PBE-GGA level of DFT.

The structure belongs to space group Pmmm (No. 47); the cell edges are 5.138, 5.150 and 10.337 Å and the angles 90.00°, 90.00° and 90.00°. The inequivalent atoms are Pm at (0.000, 0.000, 0.000), Pr at (0.000, 0.500, 0.253), Pr at (0.500, 0.000, 0.254), Ho at (0.000, 0.000, 0.500), Ho at (0.500, 0.500, 0.000) and Th at (0.500, 0.500, 0.500).

***

Entry 2:
Computed, not measured: a geometry-optimized Pm6PrHoTh2 structure at the PBE-GGA level of DFT.

The structure belongs to space group C2/c (No. 15); the cell edges are 9.089, 15.111 and 10.203 Å and the angles 90.00°, 101.58° and 90.00°. The inequivalent atoms are Pm at (0.076, 0.185, 0.451), Pm at (0.091, 0.398, 0.616), Pm at (0.210, 0.225, 0.823), Pr at (0.000, 0.010, 0.750), Ho at (0.000, 0.406, 0.250) and Th at (0.231, 0.047, 0.042).

***

Entry 3:
Computed, not measured: a geometry-optimized Pm2PrHoTh structure at the PBE-GGA level of DFT.

The structure belongs to space group P2/c (No. 13); the cell edges are 8.643, 6.478 and 6.418 Å and the angles 90.00°, 98.09° and 90.00°. The inequivalent atoms are Pm at (0.185, 0.189, 0.295), Pr at (0.500, 0.500, 0.000), Ho at (0.000, 0.328, 0.750) and Th at (0.500, 0.048, 0.750).

***

Entry 4:
Computed, not measured: a geometry-optimized PmPr2HoTh structure at the PBE-GGA level of DFT.

The structure belongs to space group P2/c (No. 13); the cell edges are 8.482, 6.613 and 6.335 Å and the angles 90.00°, 93.80° and 90.00°. The inequivalent atoms are Pm at (0.000, 0.061, 0.250), Pr at (0.310, 0.198, 0.728), Ho at (0.500, 0.334, 0.250) and Th at (0.000, 0.500, 0.000).

***

Entry 5:
Computed, not measured: a geometry-optimized PmPrHoTh2 structure at the PBE-GGA level of DFT.

The structure belongs to space group Cmcm (No. 63); the cell edges are 6.723, 15.762 and 6.730 Å and the angles 90.00°, 90.00° and 90.00°. The inequivalent atoms are Pm at (0.000, 0.151, 0.250), Pr at (0.000, 0.256, 0.750), Ho at (0.000, 0.349, 0.250) and Th at (0.248, 0.500, 0.000).

***

Entry 6:
Computed, not measured: a geometry-optimized PmPr5Ho2Th structure at the PBE-GGA level of DFT.

The structure belongs to space group Cmc2_1 (No. 36); the cell edges are 5.733, 20.682 and 10.662 Å and the angles 90.00°, 90.00° and 90.00°. The inequivalent atoms are Pm at (0.000, 0.092, 0.000), Pr at (0.000, 0.020, 0.291), Pr at (0.000, 0.114, 0.574), Pr at (0.000, 0.208, 0.251), Pr at (0.000, 0.223, 0.861), Pr at (0.000, 0.485, 0.568), Ho at (0.000, 0.384, 0.862), Ho at (0.000, 0.387, 0.285) and Th at (0.000, 0.301, 0.559).

***

no.,ΔE_f (meV per atom),VASP energy (eV/atom)
1,40,-5.02
2,155,-5.11
3,313,-4.94
4,323,-4.94
5,366,-5.42
6,159,-4.87